(1)
This record from Alexandria via LeMat-Bulk describes a relaxed NiGeAu2Se crystal. The functional is PBE.

## Properties
Its formation energy without anion corrections is 0.581 eV per atom. For the volume, the calculation gives 22.2 A^3/atom. For the magnetic moment, the calculation gives 0.0 μB per cell.

Cell and atoms, written as CIF:
```
data_NiGeAu2Se
_chemical_formula_sum 'Ni1 Ge1 Au2 Se1'
_cell_length_a 5.0635
_cell_length_b 5.0635
_cell_length_c 4.3213
_cell_angle_alpha 90.00
_cell_angle_beta 90.00
_cell_angle_gamma 90.00
_symmetry_space_group_name_H-M 'P 4/m m m'
_symmetry_Int_Tables_number 123
_symmetry_space_group_name_Hall '-P 4 2'
loop_
_atom_site_label
_atom_site_type_symbol
_atom_site_fract_x
_atom_site_fract_y
_atom_site_fract_z
Ni1 Ni 0.0000 0.0000 0.0000
Ge1 Ge 0.5000 0.5000 0.0000
Au1 Au 0.0000 0.5000 0.5000
Se1 Se 0.0000 0.0000 0.5000
```

(2)
This record from Alexandria via LeMat-Bulk describes a relaxed NaSn2Hg4 crystal. The functional is PBE.

## Properties
The energy relative to the lowest polymorph listed for this composition is 0.0168 eV per atom. For the volume, the calculation gives 28.9 A^3/atom. Its formation energy is -0.02 eV/atom. For the magnetic moment, the calculation gives 0.0 μB per cell.

Cell and atoms, written as CIF:
```
data_NaSn2Hg4
_chemical_formula_sum 'Na2 Sn4 Hg8'
_cell_length_a 6.0061
_cell_length_b 13.0394
_cell_length_c 5.1752
_cell_angle_alpha 90.00
_cell_angle_beta 90.00
_cell_angle_gamma 90.00
_symmetry_space_group_name_H-M 'C m m m'
_symmetry_Int_Tables_number 65
_symmetry_space_group_name_Hall '-C 2 2'
loop_
_atom_site_label
_atom_site_type_symbol
_atom_site_fract_x
_atom_site_fract_y
_atom_site_fract_z
Na1 Na 0.0000 0.0000 0.0000
Sn1 Sn 0.0000 0.3882 0.5000
Hg1 Hg 0.0000 0.1346 0.5000
Hg2 Hg 0.0000 0.2816 0.0000
```

(3)
This record from Alexandria via LeMat-Bulk describes a relaxed CdHg7H12 crystal. The functional is PBE.

## Properties
As for the energy: -2.13 eV/atom. For the volume, the calculation gives 18.5 A^3/atom. For the magnetic moment, the calculation gives 0.0 μB per cell.

Cell and atoms, written as CIF:
```
data_CdHg7H12
_chemical_formula_sum 'Cd1 Hg7 H12'
_cell_length_a 6.4388
_cell_length_b 8.2491
_cell_length_c 8.3526
_cell_angle_alpha 60.44
_cell_angle_beta 88.14
_cell_angle_gamma 74.62
_symmetry_space_group_name_H-M 'P -1'
_symmetry_Int_Tables_number 2
loop_
_symmetry_equiv_pos_as_xyz
'x,y,z'
'-x,-y,-z'
loop_
_atom_site_label
_atom_site_type_symbol
_atom_site_fract_x
_atom_site_fract_y
_atom_site_fract_z
Cd1 Cd 0.0000 0.0000 0.0000
Hg1 Hg 0.0235 0.8367 0.4323
Hg2 Hg 0.0958 0.4069 0.7774
Hg3 Hg 0.2708 0.6801 0.8931
Hg4 Hg 0.5000 0.0000 0.0000
H1 H 0.2247 0.1949 0.2558
H2 H 0.3235 0.2254 0.2148
H3 H 0.3560 0.5512 0.3397
H4 H 0.4299 0.1491 0.5583
H5 H 0.4680 0.5636 0.3227
H6 H 0.4691 0.8198 0.4734
```

(4)
This record from Alexandria via LeMat-Bulk describes a relaxed BaCoTe2 crystal. The functional is PBE.

## Properties
Its formation energy without anion corrections is -0.576 eV per atom. For the volume, the calculation gives 36.2 A^3/atom. For the magnetic moment, the calculation gives 4.7 μB per cell.

Cell and atoms, written as CIF:
```
data_BaCoTe2
_chemical_formula_sum 'Ba2 Co2 Te4'
_cell_length_a 4.5473
_cell_length_b 5.0947
_cell_length_c 12.5115
_cell_angle_alpha 90.00
_cell_angle_beta 90.00
_cell_angle_gamma 90.00
_symmetry_space_group_name_H-M 'A m m 2'
_symmetry_Int_Tables_number 38
loop_
_symmetry_equiv_pos_as_xyz
'x,y,z'
'-x,-y,z'
'-x,y,z'
'x,-y,z'
'x,y+1/2,z+1/2'
'-x,-y+1/2,z+1/2'
'-x,y+1/2,z+1/2'
'x,-y+1/2,z+1/2'
loop_
_atom_site_label
_atom_site_type_symbol
_atom_site_fract_x
_atom_site_fract_y
_atom_site_fract_z
Ba1 Ba 0.0000 0.0000 0.0000
Co1 Co 0.5000 0.0000 0.3781
Te1 Te 0.0000 0.0000 0.2927
Te2 Te 0.5000 0.0000 0.5754
```

Question: Number 1 is which compound?
Answer: NiGeAu2Se